# 1
TlAsSe | PBE | optimized geometry

Output
magnetic moment	0.000	μB per formula unit
formation energy from raw total energies	0.117	eV/atom
mass density	6775	kg/m³
E above lowest polymorph	118	meV/atom
space-group type	Imm2

a = 6.020 Å, b = 6.020 Å, c = 6.020 Å
α = 151.23°, β = 122.35°, γ = 65.69°
Sites, in units of the cell vectors:
Tl 0.334 0.334 0.000
As 0.951 0.951 0.000
Se 0.715 0.715 0.000

# 2
RbPmSe4 | PBE | optimized geometry

Output
magnetic moment	0.000	μB per formula unit
formation energy from raw total energies	-1.172	eV/atom
mass density	5069	kg/m³
space-group type	P4/nbm

a = 6.387 Å, b = 6.387 Å, c = 8.773 Å
α = 90.00°, β = 90.00°, γ = 90.00°
Sites, in units of the cell vectors:
Rb 0.000 0.000 0.500
Se 0.365 0.865 0.797
Se 0.865 0.365 0.203
Se 0.635 0.135 0.797
Pm 0.500 0.500 0.000
Se 0.635 0.865 0.203
Se 0.135 0.635 0.203
Pm 0.000 0.000 0.000
Se 0.135 0.365 0.797
Se 0.365 0.135 0.203
Se 0.865 0.635 0.797
Rb 0.500 0.500 0.500

# 3
SnB3Rh6 | PBE | optimized geometry

Output
magnetic moment	0.000	μB per formula unit
mass density	9591	kg/m³
energy relative to the elements	-0.268	eV per atom
space-group type	R3

a = 5.567 Å, b = 5.567 Å, c = 5.909 Å
α = 90.00°, β = 118.10°, γ = 120.00°
Sites, in units of the cell vectors:
Rh 0.150 0.748 0.224
Rh 0.276 0.911 0.732
Rh 0.367 0.456 0.732
Rh 0.821 0.365 0.732
Sn 0.765 0.883 0.648
B 0.353 0.677 0.030
Rh 0.822 0.074 0.224
B 0.682 0.341 0.023
B 0.287 0.144 0.431
Rh 0.476 0.402 0.224